DFT (PBE) results for crystalline KCo2Ag at its relaxed geometry.

Geometry as extended XYZ:
```
4
Lattice="2.707 0.000 0.000 0.000 4.350 0.000 0.000 0.000 7.000" Properties=species:S:1:pos:R:3 pbc="T T T"
K 0.000 0.000 0.000
Co 1.353 2.175 2.434
Co 1.353 2.175 4.566
Ag 0.000 0.000 3.500
```

## Properties
ρ = 5.336 Mg/m³
Fermi-level density of states = 1.09 states/eV/atom
Energy of formation from the pure elements = 0.752 eV per atom
Spin magnetization = 3.52 μB/f.u.
DFT total energy = -0.2784 Ry per atom
E above lowest polymorph = 0.245 eV/atom